A plane-wave DFT calculation with PBE with a Hubbard U was carried out for a relaxed Li2CoRuO crystal.

Lattice parameters (Å, degrees): 4.836 4.836 4.533 90.00 90.00 90.00
Atoms (fractional coordinates):
Li 0.000 0.500 0.000
Li 0.500 0.000 0.000
Co 0.000 0.000 0.500
Ru 0.000 0.000 0.000
O 0.500 0.500 0.500

Computed properties:
For the total magnetization, the calculation gives 5.1 Bohr magnetons per cell. The theoretical density comes out at 3.0 g/cm³. Its energy is -17.031 eV per cell.